(1)
VASP calculation (PBE-GGA) on a geometry-optimized Ca2MgAs structure.

a b c (Å): 5.3364 5.3364 5.3364
angles (deg): 60.00 60.00 60.00
With the nearest neighbours (Å) after each atom.
Fractional positions:
Mg  0.0000  0.0000  0.0000  8 Ca 3.27
Ca  0.2500  0.2500  0.2500  4 As 3.27, 4 Mg 3.27
As  0.5000  0.5000  0.5000  8 Ca 3.27
Ca  0.7500  0.7500  0.7500  4 As 3.27, 4 Mg 3.27

Summary:
* energy above the lowest structure with this stoichiometry: 203 meV/atom
* DFT total energy: -3.00 eV/atom
* space group: No. 225


(2)
VASP calculation (PBE-GGA) on a geometry-optimized CaMg2As structure.

a b c (Å): 4.3128 4.3145 4.9890
angles (deg): 90.00 90.00 90.00
With the nearest neighbours (Å) after each atom.
Fractional positions:
As  0.5000  0.0000  0.5000  4 Ca 3.05, 8 Mg 3.30
Mg  0.5000  0.5000  0.0000  4 Mg 3.05, 4 Ca 3.30, 4 As 3.30
Mg  0.0000  0.0000  0.0000  4 Mg 3.05, 4 As 3.30, 4 Ca 3.30
Ca  0.0000  0.5000  0.5000  4 As 3.05, 8 Mg 3.30

Summary:
* DFT total energy: -2.89 eV/atom
* space group: No. 123


(3)
VASP calculation (PBE-GGA) on a geometry-optimized Ca2MgAs structure.

a b c (Å): 4.2384 4.4921 6.2871
angles (deg): 69.07 90.00 90.00
With the nearest neighbours (Å) after each atom.
Fractional positions:
Mg  0.0000  0.6908  0.4935  2 As 2.74
As  0.5000  0.5431  0.7884  2 Mg 2.74
Ca  0.5000  0.2800  0.3155  1 As 3.10, 4 Mg 3.26
Ca  0.0000  0.9861  0.9025  4 As 3.16, 3 Mg 3.29-3.47

Summary:
* energy above the lowest structure with this stoichiometry: 0 meV/atom
* DFT total energy: -3.20 eV/atom
* space group: No. 38


(4)
VASP calculation (PBE-GGA) on a geometry-optimized CaMgAs2 structure.

a b c (Å): 4.1076 4.1076 5.7879
angles (deg): 90.00 90.00 90.00
With the nearest neighbours (Å) after each atom.
Fractional positions:
Mg  0.5000  0.5000  0.8765  6 As 2.89-2.90
As  0.5000  0.5000  0.3767  2 Mg 2.89, 4 Ca 2.90
As  0.0000  0.0000  0.8735  2 Ca 2.89, 4 Mg 2.90
Ca  0.0000  0.0000  0.3734  6 As 2.89-2.90

Summary:
* DFT total energy: -3.70 eV/atom
* space group: No. 99


(5)
VASP calculation (PBE-GGA) on a geometry-optimized CaMgAs3 structure.

a b c (Å): 5.3086 5.3086 5.3086
angles (deg): 90.00 90.00 90.00
With the nearest neighbours (Å) after each atom.
Fractional positions:
Mg  0.5000  0.5000  0.5000  12 As 3.75
As  0.0000  0.5000  0.0000  2 Ca 2.65
As  0.0000  0.0000  0.5000  2 Ca 2.65
As  0.5000  0.0000  0.0000  2 Ca 2.65
Ca  0.0000  0.0000  0.0000  6 As 2.65

Summary:
* energy above the lowest structure with this stoichiometry: 589 meV/atom
* DFT total energy: -2.94 eV/atom
* space group: No. 221


(6)
VASP calculation (PBE-GGA) on a geometry-optimized CaMg2As2 structure.

a b c (Å): 7.9024 7.9024 3.5787
angles (deg): 90.00 90.00 90.00
With the nearest neighbours (Å) after each atom.
Fractional positions:
As  0.6645  0.1645  0.0000  6 Mg 2.87-2.98, 2 Ca 2.95
Mg  0.8647  0.3647  0.5000  6 As 2.87-2.98, 1 Mg 3.02
As  0.3355  0.8355  0.0000  6 Mg 2.87-2.98, 2 Ca 2.95
Ca  0.0000  0.0000  0.0000  4 As 2.95
Mg  0.3647  0.1353  0.5000  6 As 2.87-2.98, 1 Mg 3.02
Mg  0.6353  0.8647  0.5000  6 As 2.87-2.98, 1 Mg 3.02
Ca  0.5000  0.5000  0.0000  4 As 2.95
Mg  0.1353  0.6353  0.5000  6 As 2.87-2.98, 1 Mg 3.02
As  0.1645  0.3355  0.0000  6 Mg 2.87-2.98, 2 Ca 2.95
As  0.8355  0.6645  0.0000  6 Mg 2.87-2.98, 2 Ca 2.95

Summary:
* DFT total energy: -3.43 eV/atom
* space group: No. 127


(7)
VASP calculation (PBE-GGA) on a geometry-optimized CaMg2As structure.

a b c (Å): 3.5107 3.5107 8.0664
angles (deg): 90.00 90.00 89.94
With the nearest neighbours (Å) after each atom.
Fractional positions:
Ca  0.5000  0.5000  0.7500  4 Ca 3.51, 8 Mg 3.52-3.53
Mg  0.0000  0.0000  0.0603  4 As 2.92, 1 Mg 3.06
As  0.5000  0.5000  0.2500  8 Mg 2.92
Mg  0.0000  0.0000  0.4397  4 As 2.92, 1 Mg 3.06

Summary:
* DFT total energy: -2.68 eV/atom
* space group: No. 123


(8)
VASP calculation (PBE-GGA) on a geometry-optimized CaMg2As structure.

a b c (Å): 6.0537 6.0537 6.0537
angles (deg): 138.64 138.64 59.93
With the nearest neighbours (Å) after each atom.
Fractional positions:
Ca  0.7500  0.2500  0.5000  4 As 3.02, 8 Mg 3.38
Mg  0.0000  0.0000  0.0000  4 Mg 3.02, 4 Ca 3.38, 4 As 3.38
As  0.2500  0.7500  0.5000  4 Ca 3.02, 8 Mg 3.38
Mg  0.5000  0.5000  0.0000  4 Mg 3.02, 4 As 3.38, 4 Ca 3.38

Summary:
* DFT total energy: -2.79 eV/atom
* space group: No. 139


no.,DFT formation energy (eV per atom)
1,-0.434
2,-0.429
3,-0.637
4,-0.472
5,0.566
6,-0.535
7,-0.222
8,-0.333